[1]
12
Lattice="-2.2728 -4.7483 -2.7151 4.1129 3.2814 -2.7205 6.4849 -5.1547 3.5864" Properties=species:S:1:pos:R:3 comment="Ac3Zn2GaPt6 (GGA-PBE, relaxed)" magmom_total_mub_per_atom=0.00 sg=P-3m1 formation_energy_ev_per_atom=-0.805 energy_ev_per_atom=-5.32 pbc="T T T"
Ac 6.0438 -2.6220 -0.4737
Ac 2.2812 -3.9997 -1.3756
Ac 0.0000 0.0000 0.0000
Zn 5.9612 -6.9249 0.6596
Zn 2.3637 0.3032 -2.5089
Ga 3.2424 -2.5774 1.7932
Pt 3.7926 -1.8880 -2.9917
Pt 2.9043 -1.1799 -0.3677
Pt 4.8897 0.4041 -1.6810
Pt 5.4206 -5.4418 -1.4815
Pt 4.5324 -4.7337 1.1424
Pt 3.4352 -7.0258 -0.1682



[2]
5
Lattice="6.0329 0.0000 0.0000 0.0000 3.9820 0.0000 0.0000 0.0000 6.0329" Properties=species:S:1:pos:R:3 comment="In2CBrN (GGA-PBE, relaxed)" formation_energy_uncorrected_ev_per_atom=2.18 magmom_total_mub_per_atom=0.40 sg=P4/mmm energy_ev_per_atom=-2.76 pbc="T T T"
C 0.0000 1.9910 0.0000
N 3.0164 1.9910 3.0164
Br 0.0000 0.0000 0.0000
In 0.0000 0.0000 3.0164
In 3.0164 0.0000 0.0000



[3]
12
Lattice="-0.1545 5.2446 -4.7177 -3.2991 5.5797 2.7949 3.6810 4.8705 3.5359" Properties=species:S:1:pos:R:3 comment="Pa6As5P (GGA-PBE, relaxed)" magmom_total_mub_per_atom=0.00 sg=C2/m formation_energy_ev_per_atom=-1.105 energy_ev_per_atom=-8.24 pbc="T T T"
P 0.0000 0.0000 0.0000
As 1.7797 6.7809 0.4454
As 0.1174 3.4795 2.1063
As -1.7268 5.4122 -0.9614
As 0.2645 6.9706 4.2245
As -1.5524 8.9140 1.1678
Pa 0.8116 5.9992 -2.1923
Pa -0.8026 6.1767 1.6587
Pa -0.8351 2.6447 -0.4915
Pa -2.6186 8.1797 -1.4312
Pa 1.0300 9.5181 -0.0455
Pa -0.5843 9.6957 3.8055



[4]
10
Lattice="4.8714 0.0000 7.8010 -2.4357 4.2187 7.8010 -2.4357 -4.2187 7.8010" Properties=species:S:1:pos:R:3 comment="Cs3TeF (GGA-PBE, relaxed)" formation_energy_uncorrected_ev_per_atom=-1.57 magmom_total_mub_per_atom=0.00 sg=R-3 de_polymorph_mev_per_atom=115.1 energy_ev_per_atom=-3.08 pbc="T T T"
Cs 0.1466 -3.4236 9.9021
Cs -3.0382 1.5849 9.9021
Cs -2.8916 -1.8387 13.5010
Cs 3.0382 -1.5849 13.5010
Cs -0.1466 3.4236 13.5010
Cs 2.8916 1.8387 9.9021
Te 0.0000 0.0000 8.6616
Te 0.0000 0.0000 14.7415
F 0.0000 0.0000 3.7680
F 0.0000 0.0000 19.6350



[5]
5
Lattice="5.1596 0.0000 0.0000 0.0000 5.9718 0.0000 0.0000 0.0000 5.1596" Properties=species:S:1:pos:R:3 comment="RbCaAl2Ge (GGA-PBE, relaxed)" magmom_total_mub_per_atom=0.00 sg=P4/mmm formation_energy_ev_per_atom=0.457 energy_ev_per_atom=-2.56 pbc="T T T"
Ge 0.0000 0.0000 0.0000
Ca 2.5798 2.9859 2.5798
Rb 0.0000 2.9859 0.0000
Al 0.0000 0.0000 2.5798
Al 2.5798 0.0000 0.0000



[6]
80
Lattice="13.4754 0.0000 0.0000 -4.4918 12.7047 0.0000 -4.4918 -6.3524 11.0026" Properties=species:S:1:pos:R:3 comment="Ti12Cd5Mo3 (GGA-PBE, relaxed)" magmom_total_mub_per_atom=0.00 sg=Ia-3d formation_energy_ev_per_atom=0.755 energy_ev_per_atom=-5.84 pbc="T T T"
Mo 7.8606 3.9702 1.3753
Mo 7.8606 8.7345 1.3753
Mo -1.1229 5.5583 6.8766
Mo 1.1229 -0.7940 4.1260
Mo 10.1065 0.0000 2.7507
Mo 1.1229 6.3524 2.7507
Mo 3.3688 0.0000 8.2520
Mo -5.6147 6.3524 8.2520
Mo 3.3688 7.1464 6.8766
Mo 5.6147 0.7940 4.1260
Mo -3.3688 -2.3821 9.6273
Mo -3.3688 2.3821 9.6273
Cd -1.1229 3.1762 2.7507
Cd -2.2459 6.3524 0.0000
Cd 0.0000 0.0000 0.0000
Cd 3.3688 2.3821 1.3753
Cd 4.4918 -3.1762 5.5013
Cd 4.4918 6.3524 0.0000
Cd -3.3688 7.1464 4.1260
Cd 5.6147 -3.9702 9.6273
Cd 5.6147 5.5583 4.1260
Cd 1.1229 -3.1762 8.2520
Cd 3.3688 9.5285 2.7507
Cd 2.2459 3.1762 5.5013
Cd 6.7377 0.0000 0.0000
Cd -2.2459 -3.1762 5.5013
Cd -1.1229 0.7940 6.8766
Cd -1.1229 10.3226 1.3753
Cd -4.4918 3.1762 5.5013
Cd 7.8606 -0.7940 6.8766
Cd 1.1229 3.9702 9.6273
Cd 5.6147 3.1762 8.2520
Ti 8.8866 1.3870 0.9100
Ti 0.0970 4.6578 4.7551
Ti 9.6107 2.7706 2.8913
Ti 6.1105 2.0575 1.6562
Ti 1.6545 5.2084 7.2013
Ti 9.1163 6.2325 1.7000
Ti -0.6271 7.0655 4.5475
Ti -3.8646 10.6472 1.6562
Ti 0.5914 7.4963 7.2013
Ti 6.6050 6.4722 1.7000
Ti 6.8347 3.0816 3.8451
Ti 6.8347 11.3177 0.9100
Ti -3.9004 5.6645 6.4113
Ti 2.3786 4.9400 0.9538
Ti -4.5888 9.6231 3.8451
Ti 2.3429 -1.6946 6.2475
Ti -0.5914 0.4561 2.6100
Ti 2.3786 7.8845 0.7462
Ti 6.1106 9.9341 2.8913
Ti -0.1327 4.8202 0.7462
Ti -2.8373 6.8085 8.3926
Ti 2.8730 5.6393 4.5475
Ti 6.1463 7.0402 6.4113
Ti 4.6245 -1.4123 10.0488
Ti 1.6187 0.7131 6.4551
Ti -1.6545 -0.6878 4.5913
Ti -0.1327 7.7647 0.9538
Ti -1.6188 -3.5817 8.1113
Ti 7.3291 -0.4561 2.6100
Ti 4.6245 1.5322 10.2564
Ti 2.1132 -1.5321 10.2564
Ti 2.1489 8.0469 4.7551
Ti 5.0832 5.8963 8.3926
Ti 9.0806 -3.2707 7.1575
Ti 8.3922 0.6878 4.5913
Ti -2.3429 -4.9653 10.0926
Ti 2.1132 1.4123 10.0488
Ti 3.9004 -1.1439 3.8013
Ti -2.1132 -0.1198 9.3026
Ti -2.3429 3.2707 7.1575
Ti 8.3564 -4.2948 9.3464
Ti 5.1189 -0.7131 6.4551
Ti -1.6187 4.2948 9.3464
Ti -4.6245 0.1198 9.3026
Ti 2.8373 1.1439 3.8013
Ti -5.1189 3.5817 8.1113
Ti 4.3948 1.6946 6.2475
Ti -4.3948 4.9653 10.0926



[7]
14
Lattice="-0.7069 4.5984 -0.7568 -4.9033 -1.8198 -6.4781 -11.0245 -0.3072 8.4307" Properties=species:S:1:pos:R:3 comment="Sr2ThTe4 (GGA-PBE, relaxed)" formation_energy_uncorrected_ev_per_atom=-1.48 magmom_total_mub_per_atom=0.00 sg=Pbam de_polymorph_mev_per_atom=0.0 energy_ev_per_atom=-4.82 pbc="T T T"
Sr -13.7730 0.4044 0.6428
Sr -2.8616 2.0669 0.5531
Sr -9.8795 1.3545 2.7792
Sr -6.7551 1.1169 -1.5834
Th -5.5123 -0.1536 4.2154
Th -2.4516 -0.9099 -3.2391
Te -11.7638 -1.3799 2.6031
Te -4.1640 -0.7471 -0.6505
Te -8.4510 -0.4460 5.1836
Te -7.4767 -1.6810 -3.2310
Te -10.0827 0.7553 -0.6722
Te -6.5519 1.7161 1.8681
Te -4.5098 0.9314 -4.8075
Te -12.1248 1.5400 6.0033



[8]
5
Lattice="5.2701 0.0000 0.0000 0.0000 5.2701 0.0000 0.0000 0.0000 5.2701" Properties=species:S:1:pos:R:3 comment="HAuBr3 (GGA-PBE, relaxed)" magmom_total_mub_per_atom=0.20 sg=Pm-3m de_polymorph_mev_per_atom=636.7 energy_ev_per_atom=-1.82 pbc="T T T"
H 2.6351 2.6351 2.6351
Au 0.0000 0.0000 0.0000
Br 0.0000 2.6351 0.0000
Br 0.0000 0.0000 2.6351
Br 2.6351 0.0000 0.0000



[9]
16
Lattice="7.5998 -0.1969 -0.0260 -2.4069 7.2113 -0.0260 -2.1695 -2.9304 9.4100" Properties=species:S:1:pos:R:3 comment="KYAgCl5 (GGA-PBE, relaxed)" formation_energy_uncorrected_ev_per_atom=-1.76 magmom_total_mub_per_atom=0.00 sg=C2/c energy_ev_per_atom=-4.21 pbc="T T T"
K 0.5245 3.9070 2.3265
K 2.4990 0.1769 7.0315
Y -1.0847 -1.4652 4.7050
Y 0.0000 0.0000 0.0000
Ag 3.9363 1.3811 2.3265
Ag -0.9128 2.7028 7.0315
Cl -2.1898 5.9164 2.3265
Cl 5.2132 -1.8325 7.0315
Cl 6.0464 1.7400 0.8901
Cl -3.0230 2.3440 8.4679
Cl 4.2091 -0.7418 3.7629
Cl -1.1856 4.8258 5.5951
Cl 3.1825 3.1366 4.1093
Cl -0.1590 0.9473 5.2487
Cl 2.0372 1.5896 0.5437
Cl 0.9863 2.4943 8.8143



[10]
28
Lattice="5.6199 -0.0008 -0.0015 2.3011 6.8027 0.0001 2.1848 2.4252 7.9086" Properties=species:S:1:pos:R:3 comment="Ti5O9 (GGA-PBE, relaxed)" formation_energy_uncorrected_ev_per_atom=-2.98 magmom_total_mub_per_atom=0.09 sg=P-1 energy_ev_per_atom=-8.98 pbc="T T T"
Ti 5.7356 3.2465 3.3578
Ti 4.3702 5.9806 4.5494
Ti 6.8695 6.6602 3.3343
Ti 3.2363 2.5669 4.5729
Ti 3.9095 4.9679 1.6232
Ti 6.1963 4.2592 6.2840
Ti 2.7544 1.5752 1.6202
Ti 7.3514 7.6519 6.2870
Ti 0.0000 0.0000 0.0000
Ti 1.1506 3.4013 0.0000
O 3.8361 4.2917 3.6265
O 6.2697 4.9354 4.2807
O 1.7608 2.3562 3.3287
O 8.3450 6.8709 4.5785
O 4.3952 1.7878 2.9002
O 5.7106 7.4393 5.0069
O 4.9625 6.5561 2.5528
O 5.1434 2.6710 5.3544
O 7.8866 6.0818 1.8880
O 2.2193 3.1453 6.0192
O 6.1929 8.1625 7.7355
O 3.9129 1.0646 0.1717
O 9.0056 7.6965 7.2675
O 1.1002 1.5306 0.6397
O 7.2825 5.7550 6.8152
O 2.8233 3.4721 1.0920
O 4.4638 5.2614 6.3020
O 5.6420 3.9657 1.6051



[11]
6
Lattice="-0.9432 4.6963 0.9979 -3.2859 -1.3571 3.2835 2.8501 -0.7272 6.1180" Properties=species:S:1:pos:R:3 comment="PuInHg4 (GGA-PBE, relaxed)" magmom_total_mub_per_atom=0.97 sg=Cmmm de_polymorph_mev_per_atom=0.0 formation_energy_ev_per_atom=-0.094 energy_ev_per_atom=-3.14 pbc="T T T"
Pu 0.0000 0.0000 0.0000
In -2.1145 1.6696 2.1407
Hg -0.1000 -0.6953 3.1789
Hg 0.8891 1.6371 5.1330
Hg -0.3358 -1.3890 6.2225
Hg -2.2680 0.9750 5.2662



[12]
7
Lattice="-2.4225 2.4217 1.7479 -4.7178 -4.1924 -0.7301 1.4457 -2.6042 5.6120" Properties=species:S:1:pos:R:3 comment="Rb2PtF4 (GGA-PBE, relaxed)" formation_energy_uncorrected_ev_per_atom=-2.10 magmom_total_mub_per_atom=0.00 sg=P4/mmm de_polymorph_mev_per_atom=0.0 energy_ev_per_atom=-4.31 pbc="T T T"
Pt 0.0000 0.0000 0.0000
Rb -0.4884 -0.0913 3.6799
Rb -3.5702 -0.8853 0.5089
F -2.5391 -5.2741 3.7883
F -0.7330 -1.5226 1.0936
F -3.3371 -3.8366 0.6906
F 0.0650 -2.9600 4.1913